# 1
Crystalline La3SnTe2 at its relaxed geometry. Source: Alexandria via LeMat-Bulk, functional GGA-PBE.

Lattice parameters (Å, degrees): 7.9756 7.9756 7.9756 146.20 131.81 60.15
Last column: nearest neighbours and their distance in Å.
Element x y z (fractional)
La (0.0000, 0.0000, 0.0000)  2 Sn 3.26, 4 Te 3.28
La (0.3382, 0.3382, 0.0000)  2 Sn 3.22, 4 Te 3.26-3.30
La (0.6618, 0.6618, 0.0000)  2 Sn 3.22, 4 Te 3.26-3.30
Sn (0.5000, 0.0000, 0.5000)  6 La 3.22-3.26
Te (0.1678, 0.6678, 0.5000)  6 La 3.26-3.30
Te (0.8322, 0.3322, 0.5000)  6 La 3.26-3.30

total DFT energy (no corrections)	-33.29	eV per cell
space group	No. 71
ΔE to the lowest computed polymorph	3	meV/atom

---

# 2
Crystalline La3Nd3Ho5 at its relaxed geometry. Source: Alexandria via LeMat-Bulk, functional GGA-PBE.

Lattice parameters (Å, degrees): 9.6843 9.6843 5.4804 90.00 90.00 120.00
Last column: nearest neighbours and their distance in Å.
Element x y z (fractional)
La (0.0000, 0.3605, 0.0000)  2 Nd 3.09, 4 Ho 3.10-3.17
La (0.3605, 0.0000, 0.0000)  2 Nd 3.09, 4 Ho 3.10-3.17
La (0.6395, 0.6395, 0.0000)  2 Nd 3.09, 4 Ho 3.10-3.17
Nd (0.0000, 0.5070, 0.5000)  2 La 3.09, 2 Ho 3.43
Nd (0.4930, 0.4930, 0.5000)  2 La 3.09, 2 Ho 3.43
Nd (0.5070, 0.0000, 0.5000)  2 La 3.09, 2 Ho 3.43
Ho (0.0000, 0.7203, 0.0000)  3 La 3.17-3.48, 2 Nd 3.43, 2 Ho 3.52
Ho (0.2797, 0.2797, 0.0000)  3 La 3.17-3.48, 2 Nd 3.43, 2 Ho 3.52
Ho (0.3333, 0.6667, 0.0000)  3 La 3.10
Ho (0.6667, 0.3333, 0.0000)  3 La 3.10
Ho (0.7203, 0.0000, 0.0000)  3 La 3.17-3.48, 2 Nd 3.43, 2 Ho 3.52

total DFT energy (no corrections)	-43.93	eV per cell
space group	No. 189

---

# 3
Crystalline CuAgTe2S4 at its relaxed geometry. Source: Alexandria via LeMat-Bulk, functional GGA-PBE.

Lattice parameters (Å, degrees): 6.3998 6.3998 5.8363 111.44 111.44 93.10
Last column: nearest neighbours and their distance in Å.
Element x y z (fractional)
Cu (0.0000, 0.0000, 0.0000)  4 S 2.32-2.40
Ag (0.4982, 0.4982, 0.0087)  4 S 2.65-2.68
Te (0.2234, 0.7208, 0.4441)  3 S 2.39-2.59
Te (0.7208, 0.2234, 0.4441)  3 S 2.39-2.59
S (0.1609, 0.7014, 0.8167)  1 Cu 2.32, 1 Te 2.39
S (0.3217, 0.3217, 0.2609)  1 Cu 2.40, 2 Te 2.59, 1 Ag 2.65
S (0.7014, 0.1609, 0.8167)  1 Cu 2.32, 1 Te 2.39
S (0.8534, 0.8534, 0.2385)  1 Cu 2.35, 2 Te 2.58

total DFT energy (no corrections)	-29.25	eV per cell
space group	No. 8

---

# 4
Crystalline DyMg3In at its relaxed geometry. Source: Alexandria via LeMat-Bulk, functional GGA-PBE.

Lattice parameters (Å, degrees): 14.4763 14.4763 3.6098 90.00 90.00 160.05
Last column: nearest neighbours and their distance in Å.
Element x y z (fractional)
Dy (0.1657, 0.8343, 0.0000)  4 In 3.25, 8 Mg 3.50-3.57, 2 Dy 3.61
Dy (0.8343, 0.1657, 0.0000)  4 In 3.25, 8 Mg 3.50-3.57, 2 Dy 3.61
Mg (0.0606, 0.9394, 0.5000)  5 Mg 3.10-3.46, 2 In 3.19
Mg (0.2716, 0.7284, 0.5000)  2 Mg 2.79, 1 In 2.81
Mg (0.4502, 0.5498, 0.0000)  5 Mg 2.84-3.10, 2 In 2.91
Mg (0.5498, 0.4502, 0.0000)  5 Mg 2.84-3.10, 2 In 2.91
Mg (0.7284, 0.2716, 0.5000)  2 Mg 2.79, 1 In 2.81
Mg (0.9394, 0.0606, 0.5000)  5 Mg 3.10-3.46, 2 In 3.19
In (0.3702, 0.6298, 0.5000)  3 Mg 2.81-2.91
In (0.6298, 0.3702, 0.5000)  3 Mg 2.81-2.91

total DFT energy (no corrections)	-24.99	eV per cell
space group	No. 65

---

# 5
Crystalline SrSn2As2 at its relaxed geometry. Source: Alexandria via LeMat-Bulk, functional GGA-PBE.

Lattice parameters (Å, degrees): 8.0066 8.0066 4.1139 90.00 90.00 90.00
Last column: nearest neighbours and their distance in Å.
Element x y z (fractional)
Sr (0.0000, 0.0000, 0.0000)  4 As 3.11
Sr (0.5000, 0.5000, 0.0000)  4 As 3.11
Sn (0.1502, 0.3498, 0.5000)  6 As 3.08-3.18, 1 Sn 3.40
Sn (0.3498, 0.8498, 0.5000)  6 As 3.08-3.18, 1 Sn 3.40
Sn (0.6502, 0.1502, 0.5000)  6 As 3.08-3.18, 1 Sn 3.40
Sn (0.8498, 0.6502, 0.5000)  6 As 3.08-3.18, 1 Sn 3.40
As (0.1360, 0.6360, 0.0000)  1 As 3.08, 6 Sn 3.08-3.18, 2 Sr 3.11
As (0.3640, 0.1360, 0.0000)  1 As 3.08, 6 Sn 3.08-3.18, 2 Sr 3.11
As (0.6360, 0.8640, 0.0000)  1 As 3.08, 6 Sn 3.08-3.18, 2 Sr 3.11
As (0.8640, 0.3640, 0.0000)  1 As 3.08, 6 Sn 3.08-3.18, 2 Sr 3.11

total DFT energy (no corrections)	-40.69	eV per cell
space group	No. 127

---

# 6
Crystalline TbTm2Ga9 at its relaxed geometry. Source: Alexandria via LeMat-Bulk, functional GGA-PBE.

Lattice parameters (Å, degrees): 4.2542 4.2542 12.7446 90.00 90.00 90.00
Last column: nearest neighbours and their distance in Å.
Element x y z (fractional)
Tb (0.0000, 0.0000, 0.0000)  12 Ga 3.01-3.03
Tm (0.0000, 0.0000, 0.3344)  12 Ga 2.99-3.01
Tm (0.0000, 0.0000, 0.6656)  12 Ga 2.99-3.01
Ga (0.0000, 0.5000, 0.1690)  8 Ga 2.99-3.03, 2 Tm 2.99, 2 Tb 3.03
Ga (0.0000, 0.5000, 0.5000)  4 Tm 3.00, 8 Ga 3.00-3.01
Ga (0.0000, 0.5000, 0.8310)  8 Ga 2.99-3.03, 2 Tm 2.99, 2 Tb 3.03
Ga (0.5000, 0.0000, 0.1690)  8 Ga 2.99-3.03, 2 Tm 2.99, 2 Tb 3.03
Ga (0.5000, 0.0000, 0.5000)  4 Tm 3.00, 8 Ga 3.00-3.01
Ga (0.5000, 0.0000, 0.8310)  8 Ga 2.99-3.03, 2 Tm 2.99, 2 Tb 3.03
Ga (0.5000, 0.5000, 0.0000)  4 Tb 3.01, 8 Ga 3.03
Ga (0.5000, 0.5000, 0.3335)  8 Ga 2.99-3.00, 4 Tm 3.01
Ga (0.5000, 0.5000, 0.6665)  8 Ga 2.99-3.00, 4 Tm 3.01

total DFT energy (no corrections)	-47.11	eV per cell
space group	No. 123

---

# 7
Crystalline Ce3GeRu2 at its relaxed geometry. Source: Alexandria via LeMat-Bulk, functional GGA-PBE.

Lattice parameters (Å, degrees): 7.1292 8.1557 10.1649 90.00 114.67 90.00
Last column: nearest neighbours and their distance in Å.
Element x y z (fractional)
Ce (0.2017, 0.0363, 0.1494)  3 Ru 2.73-2.89, 2 Ge 2.97-3.04
Ce (0.2017, 0.4637, 0.6494)  3 Ru 2.73-2.89, 2 Ge 2.97-3.04
Ce (0.2574, 0.0689, 0.5107)  3 Ru 2.72-3.04
Ce (0.2574, 0.4311, 0.0107)  3 Ru 2.72-3.04
Ce (0.2766, 0.6200, 0.3260)  1 Ru 2.48
Ce (0.2766, 0.8800, 0.8260)  1 Ru 2.48
Ce (0.7234, 0.1200, 0.1740)  1 Ru 2.48
Ce (0.7234, 0.3800, 0.6740)  1 Ru 2.48
Ce (0.7426, 0.5689, 0.9893)  3 Ru 2.72-3.04
Ce (0.7426, 0.9311, 0.4893)  3 Ru 2.72-3.04
Ce (0.7983, 0.5363, 0.3506)  3 Ru 2.73-2.89, 2 Ge 2.97-3.04
Ce (0.7983, 0.9637, 0.8506)  3 Ru 2.73-2.89, 2 Ge 2.97-3.04
Ge (0.4953, 0.2253, 0.8515)  2 Ru 2.69-2.76, 1 Ce 2.97
Ge (0.4953, 0.2747, 0.3515)  2 Ru 2.69-2.76, 1 Ce 2.97
Ge (0.5047, 0.7253, 0.6485)  2 Ru 2.69-2.76, 1 Ce 2.97
Ge (0.5047, 0.7747, 0.1485)  2 Ru 2.69-2.76, 1 Ce 2.97
Ru (0.0832, 0.7313, 0.0019)  5 Ce 2.72-2.94, 1 Ge 2.76, 2 Ru 2.83-3.03
Ru (0.0832, 0.7687, 0.5019)  5 Ce 2.72-2.94, 1 Ge 2.76, 2 Ru 2.83-3.03
Ru (0.1026, 0.1499, 0.7959)  1 Ce 2.48, 1 Ge 2.69
Ru (0.1026, 0.3501, 0.2959)  1 Ce 2.48, 1 Ge 2.69
Ru (0.8974, 0.6499, 0.7041)  1 Ce 2.48, 1 Ge 2.69
Ru (0.8974, 0.8501, 0.2041)  1 Ce 2.48, 1 Ge 2.69
Ru (0.9168, 0.2313, 0.4981)  5 Ce 2.72-2.94, 1 Ge 2.76, 2 Ru 2.83-3.03
Ru (0.9168, 0.2687, 0.9981)  5 Ce 2.72-2.94, 1 Ge 2.76, 2 Ru 2.83-3.03

total DFT energy (no corrections)	-175.16	eV per cell
space group	No. 14
ΔE to the lowest computed polymorph	0	meV/atom

---

# 8
Crystalline AcZnGePt2 at its relaxed geometry. Source: Alexandria via LeMat-Bulk, functional GGA-PBE.

Lattice parameters (Å, degrees): 6.1772 6.1772 6.1772 137.98 137.98 60.93
Last column: nearest neighbours and their distance in Å.
Element x y z (fractional)
Ac (0.0000, 0.0000, 0.0000)  8 Pt 3.42, 4 Ge 3.46, 4 Zn 3.46
Zn (0.7500, 0.2500, 0.5000)  4 Pt 2.56
Ge (0.2500, 0.7500, 0.5000)  4 Pt 2.56
Pt (0.3713, 0.3713, 0.0000)  2 Ge 2.56, 2 Zn 2.56, 1 Pt 2.74
Pt (0.6287, 0.6287, 0.0000)  2 Ge 2.56, 2 Zn 2.56, 1 Pt 2.74

total DFT energy (no corrections)	-26.33	eV per cell
space group	No. 119

---

# 9
Crystalline LiSnHgCl6 at its relaxed geometry. Source: Alexandria via LeMat-Bulk, functional GGA-PBE.

Lattice parameters (Å, degrees): 6.5955 6.5955 12.8332 90.00 90.00 120.00
Last column: nearest neighbours and their distance in Å.
Element x y z (fractional)
Li (0.3333, 0.6667, 0.2500)  6 Cl 2.61
Li (0.6667, 0.3333, 0.7500)  6 Cl 2.61
Sn (0.3333, 0.6667, 0.7500)  6 Cl 2.50
Sn (0.6667, 0.3333, 0.2500)  6 Cl 2.50
Hg (0.0000, 0.0000, 0.0000)  6 Cl 2.97
Hg (0.0000, 0.0000, 0.5000)  6 Cl 2.97
Cl (0.0123, 0.3657, 0.6388)  1 Sn 2.50, 1 Li 2.61
Cl (0.0123, 0.6466, 0.8612)  1 Sn 2.50, 1 Li 2.61
Cl (0.3534, 0.3657, 0.8612)  1 Sn 2.50, 1 Li 2.61
Cl (0.3534, 0.9877, 0.6388)  1 Sn 2.50, 1 Li 2.61
Cl (0.3657, 0.0123, 0.1388)  1 Sn 2.50, 1 Li 2.61
Cl (0.3657, 0.3534, 0.3612)  1 Sn 2.50, 1 Li 2.61
Cl (0.6343, 0.6466, 0.6388)  1 Sn 2.50, 1 Li 2.61
Cl (0.6343, 0.9877, 0.8612)  1 Sn 2.50, 1 Li 2.61
Cl (0.6466, 0.0123, 0.3612)  1 Sn 2.50, 1 Li 2.61
Cl (0.6466, 0.6343, 0.1388)  1 Sn 2.50, 1 Li 2.61
Cl (0.9877, 0.3534, 0.1388)  1 Sn 2.50, 1 Li 2.61
Cl (0.9877, 0.6343, 0.3612)  1 Sn 2.50, 1 Li 2.61

total DFT energy (no corrections)	-51.70	eV per cell
space group	No. 163

---

# 10
Crystalline SrSbRu2 at its relaxed geometry. Source: Alexandria via LeMat-Bulk, functional GGA-PBE.

Lattice parameters (Å, degrees): 5.5253 5.5253 5.5253 136.57 136.57 63.10
Last column: nearest neighbours and their distance in Å.
Element x y z (fractional)
Sr (0.0000, 0.0000, 0.0000)  8 Ru 2.89-3.12, 4 Sb 3.12
Sb (0.7500, 0.2500, 0.5000)  8 Ru 2.89-3.12, 4 Sr 3.12
Ru (0.2500, 0.7500, 0.5000)  4 Sb 2.89, 4 Ru 3.12, 4 Sr 3.12
Ru (0.5000, 0.5000, 0.0000)  4 Sr 2.89, 4 Sb 3.12, 4 Ru 3.12

total DFT energy (no corrections)	-22.53	eV per cell
space group	No. 119

---

# 11
Crystalline SrY2Cd6 at its relaxed geometry. Source: Alexandria via LeMat-Bulk, functional GGA-PBE.

Lattice parameters (Å, degrees): 8.7196 8.7196 3.5425 90.00 90.00 120.00
Last column: nearest neighbours and their distance in Å.
Element x y z (fractional)
Sr (0.0000, 0.0000, 0.0000)  12 Cd 3.44, 2 Sr 3.54
Y (0.3333, 0.6667, 0.0000)  12 Cd 3.39, 2 Y 3.54
Y (0.6667, 0.3333, 0.0000)  12 Cd 3.39, 2 Y 3.54
Cd (0.0000, 0.3378, 0.5000)  3 Cd 2.83-2.95
Cd (0.0000, 0.6622, 0.5000)  3 Cd 2.83-2.95
Cd (0.3378, 0.0000, 0.5000)  3 Cd 2.83-2.95
Cd (0.3378, 0.3378, 0.5000)  3 Cd 2.83-2.95
Cd (0.6622, 0.0000, 0.5000)  3 Cd 2.83-2.95
Cd (0.6622, 0.6622, 0.5000)  3 Cd 2.83-2.95

total DFT energy (no corrections)	-22.92	eV per cell
space group	No. 191

---

# 12
Crystalline AcTl2ClO2 at its relaxed geometry. Source: Alexandria via LeMat-Bulk, functional GGA-PBE.

Lattice parameters (Å, degrees): 4.8770 4.8770 6.4714 90.00 90.00 90.00
Last column: nearest neighbours and their distance in Å.
Element x y z (fractional)
Ac (0.0000, 0.0000, 0.0000)  4 O 2.44
Tl (0.5000, 0.5000, 0.2473)  4 O 2.92, 1 Tl 3.20
Tl (0.5000, 0.5000, 0.7527)  4 O 2.92, 1 Tl 3.20
Cl (0.0000, 0.0000, 0.5000)  2 Ac 3.24
O (0.0000, 0.5000, 0.0000)  2 Ac 2.44
O (0.5000, 0.0000, 0.0000)  2 Ac 2.44

total DFT energy (no corrections)	-30.87	eV per cell
space group	No. 123

---

# 13
Crystalline GeBiOs2 at its relaxed geometry. Source: Alexandria via LeMat-Bulk, functional GGA-PBE.

Lattice parameters (Å, degrees): 7.2603 7.2603 7.2603 133.60 133.60 67.72
Last column: nearest neighbours and their distance in Å.
Element x y z (fractional)
Ge (0.0000, 0.0000, 0.0000)  4 Os 2.40
Ge (0.7500, 0.2500, 0.5000)  4 Os 2.40
Bi (0.2500, 0.7500, 0.5000)  4 Os 2.66
Bi (0.5000, 0.5000, 0.0000)  4 Os 2.66
Os (0.0837, 0.6250, 0.9587)  2 Ge 2.40, 2 Bi 2.66
Os (0.3750, 0.3337, 0.4587)  2 Ge 2.40, 2 Bi 2.66
Os (0.6663, 0.1250, 0.0413)  2 Ge 2.40, 2 Bi 2.66
Os (0.8750, 0.9163, 0.5413)  2 Ge 2.40, 2 Bi 2.66

total DFT energy (no corrections)	-52.12	eV per cell
space group	No. 122
ΔE to the lowest computed polymorph	423	meV/atom

---

# 14
Crystalline NpCd2PdO8 at its relaxed geometry. Source: Alexandria via LeMat-Bulk, functional GGA-PBE.

Lattice parameters (Å, degrees): 5.0632 6.5031 5.1059 90.00 92.95 90.00
Last column: nearest neighbours and their distance in Å.
Element x y z (fractional)
Np (0.0000, 0.0000, 0.0000)  6 O 1.96-2.08
Cd (0.5000, 0.2580, 0.5000)  6 O 2.21-2.39
Cd (0.5000, 0.7420, 0.5000)  6 O 2.21-2.39
Pd (0.0000, 0.5000, 0.0000)  6 O 1.95-2.08
O (0.1805, 0.2504, 0.8297)  1 Pd 2.08, 1 Np 2.08
O (0.1805, 0.7496, 0.8297)  1 Pd 2.08, 1 Np 2.08
O (0.2729, 0.5000, 0.2849)  1 Pd 1.95
O (0.2750, 0.0000, 0.2844)  1 Np 1.96
O (0.7250, 0.0000, 0.7156)  1 Np 1.96
O (0.7271, 0.5000, 0.7151)  1 Pd 1.95
O (0.8195, 0.2504, 0.1703)  1 Pd 2.08, 1 Np 2.08
O (0.8195, 0.7496, 0.1703)  1 Pd 2.08, 1 Np 2.08

total DFT energy (no corrections)	-74.64	eV per cell
space group	No. 10

---

# 15
Crystalline SrPt3Rh4O12 at its relaxed geometry. Source: Alexandria via LeMat-Bulk, functional GGA-PBE.

Lattice parameters (Å, degrees): 6.6695 6.6695 6.6695 109.47 109.47 109.47
Last column: nearest neighbours and their distance in Å.
Element x y z (fractional)
Sr (0.0000, 0.0000, 0.0000)  12 O 2.72
Pt (0.0000, 0.5000, 0.5000)  4 O 1.98
Pt (0.5000, 0.0000, 0.5000)  4 O 1.98
Pt (0.5000, 0.5000, 0.0000)  4 O 1.98
Rh (0.0000, 0.0000, 0.5000)  6 O 2.07
Rh (0.0000, 0.5000, 0.0000)  6 O 2.07
Rh (0.5000, 0.0000, 0.0000)  6 O 2.07
Rh (0.5000, 0.5000, 0.5000)  6 O 2.07
O (0.1365, 0.3088, 0.8277)  1 Pt 1.98, 2 Rh 2.07
O (0.1723, 0.4811, 0.3088)  1 Pt 1.98, 2 Rh 2.07
O (0.1723, 0.8635, 0.6912)  1 Pt 1.98, 2 Rh 2.07
O (0.3088, 0.1723, 0.4811)  1 Pt 1.98, 2 Rh 2.07
O (0.3088, 0.8277, 0.1365)  1 Pt 1.98, 2 Rh 2.07
O (0.4811, 0.3088, 0.1723)  1 Pt 1.98, 2 Rh 2.07
O (0.5189, 0.6912, 0.8277)  1 Pt 1.98, 2 Rh 2.07
O (0.6912, 0.1723, 0.8635)  1 Pt 1.98, 2 Rh 2.07
O (0.6912, 0.8277, 0.5189)  1 Pt 1.98, 2 Rh 2.07
O (0.8277, 0.1365, 0.3088)  1 Pt 1.98, 2 Rh 2.07
O (0.8277, 0.5189, 0.6912)  1 Pt 1.98, 2 Rh 2.07
O (0.8635, 0.6912, 0.1723)  1 Pt 1.98, 2 Rh 2.07

total DFT energy (no corrections)	-125.28	eV per cell
space group	No. 204